Record 1
An optimized crystal structure of Si2Ni2W. Source: Alexandria, functional GGA-PBEsol.

Results
- crystal system = tetragonal
- SG = No. 127
- calculated total energy (Ry per atom) = -0.583
- energy relative to the elements, uncorrected (eV/atom) = -0.41

The structure in CIF format:
```
data_Si2Ni2W
_cell_length_a 6.6957
_cell_length_b 6.6957
_cell_length_c 2.6483
_cell_angle_alpha 90.00
_cell_angle_beta 90.00
_cell_angle_gamma 90.00
_space_group_name_H-M_alt 'P 1'
_space_group_IT_number 1
_space_group_name_Hall 'P 1'
loop_
_atom_site_label
_atom_site_type_symbol
_atom_site_fract_x
_atom_site_fract_y
_atom_site_fract_z
Si1 Si 0.1476 0.3524 0.0000
Si2 Si 0.3524 0.8524 0.0000
Si3 Si 0.6476 0.1476 0.0000
Si4 Si 0.8524 0.6476 0.0000
Ni1 Ni 0.1450 0.6450 0.5000
Ni2 Ni 0.3550 0.1450 0.5000
Ni3 Ni 0.6450 0.8550 0.5000
Ni4 Ni 0.8550 0.3550 0.5000
W1 W 0.0000 0.0000 0.0000
W2 W 0.5000 0.5000 0.0000
```

Record 2
An optimized crystal structure of AgAu3. Source: Alexandria, functional GGA-PBEsol.

Results
- DFT formation energy (eV/atom) = -0.03
- crystal system = orthorhombic
- SG = No. 63
- calculated total energy (Ry per atom) = -0.279
- energy above the most stable polymorph in this dataset (meV per atom) = 20.2

The structure in CIF format:
```
data_AgAu3
_cell_length_a 5.6282
_cell_length_b 10.0106
_cell_length_c 4.7801
_cell_angle_alpha 90.00
_cell_angle_beta 90.00
_cell_angle_gamma 90.00
_space_group_name_H-M_alt 'P 1'
_space_group_IT_number 1
_space_group_name_Hall 'P 1'
loop_
_atom_site_label
_atom_site_type_symbol
_atom_site_fract_x
_atom_site_fract_y
_atom_site_fract_z
Ag1 Ag 0.0000 0.0823 0.2500
Ag2 Ag 0.0000 0.9177 0.7500
Ag3 Ag 0.5000 0.4177 0.7500
Ag4 Ag 0.5000 0.5823 0.2500
Au1 Au 0.0000 0.4176 0.7500
Au2 Au 0.0000 0.5824 0.2500
Au3 Au 0.2493 0.1672 0.7500
Au4 Au 0.2493 0.8328 0.2500
Au5 Au 0.2507 0.3328 0.2500
Au6 Au 0.2507 0.6672 0.7500
Au7 Au 0.5000 0.0824 0.2500
Au8 Au 0.5000 0.9176 0.7500
Au9 Au 0.7493 0.3328 0.2500
Au10 Au 0.7493 0.6672 0.7500
Au11 Au 0.7507 0.1672 0.7500
Au12 Au 0.7507 0.8328 0.2500
```

Record 3
An optimized crystal structure of MnZnHg2F. Source: Alexandria, functional GGA-PBEsol.

Results
- crystal system = tetragonal
- SG = No. 123
- calculated total energy (Ry per atom) = -0.195
- energy relative to the elements, uncorrected (eV/atom) = 0.23

The structure in CIF format:
```
data_MnZnHg2F
_cell_length_a 4.9404
_cell_length_b 4.9404
_cell_length_c 4.8754
_cell_angle_alpha 90.00
_cell_angle_beta 90.00
_cell_angle_gamma 90.00
_space_group_name_H-M_alt 'P 1'
_space_group_IT_number 1
_space_group_name_Hall 'P 1'
loop_
_atom_site_label
_atom_site_type_symbol
_atom_site_fract_x
_atom_site_fract_y
_atom_site_fract_z
Mn1 Mn 0.0000 0.0000 0.0000
Zn1 Zn 0.0000 0.0000 0.5000
Hg1 Hg 0.0000 0.5000 0.5000
Hg2 Hg 0.5000 0.0000 0.5000
F1 F 0.5000 0.5000 0.0000
```

Record 4
An optimized crystal structure of LaSiSb2Te. Source: Alexandria, functional GGA-PBEsol.

Results
- crystal system = tetragonal
- SG = No. 123
- calculated total energy (Ry per atom) = -0.361
- energy relative to the elements, uncorrected (eV/atom) = -0.16

The structure in CIF format:
```
data_LaSiSb2Te
_cell_length_a 5.1577
_cell_length_b 5.1577
_cell_length_c 5.3450
_cell_angle_alpha 90.00
_cell_angle_beta 90.00
_cell_angle_gamma 90.00
_space_group_name_H-M_alt 'P 1'
_space_group_IT_number 1
_space_group_name_Hall 'P 1'
loop_
_atom_site_label
_atom_site_type_symbol
_atom_site_fract_x
_atom_site_fract_y
_atom_site_fract_z
La1 La 0.0000 0.0000 0.0000
Si1 Si 0.5000 0.5000 0.5000
Sb1 Sb 0.0000 0.5000 0.5000
Sb2 Sb 0.5000 0.0000 0.5000
Te1 Te 0.5000 0.5000 0.0000
```

Record 5
An optimized crystal structure of NaMgN2F. Source: Alexandria, functional GGA-PBEsol.

Results
- crystal system = tetragonal
- SG = No. 123
- calculated total energy (Ry per atom) = -0.269
- energy relative to the elements, uncorrected (eV/atom) = 0.77

The structure in CIF format:
```
data_NaMgN2F
_cell_length_a 4.2716
_cell_length_b 4.2716
_cell_length_c 3.9056
_cell_angle_alpha 90.00
_cell_angle_beta 90.00
_cell_angle_gamma 90.00
_space_group_name_H-M_alt 'P 1'
_space_group_IT_number 1
_space_group_name_Hall 'P 1'
loop_
_atom_site_label
_atom_site_type_symbol
_atom_site_fract_x
_atom_site_fract_y
_atom_site_fract_z
Na1 Na 0.0000 0.0000 0.0000
Mg1 Mg 0.5000 0.5000 0.5000
N1 N 0.0000 0.5000 0.0000
N2 N 0.5000 0.0000 0.0000
F1 F 0.0000 0.0000 0.5000
```

Record 6
An optimized crystal structure of LiAu2Se. Source: Alexandria, functional GGA-PBEsol.

Results
- crystal system = orthorhombic
- SG = No. 38
- calculated total energy (Ry per atom) = -0.273
- energy relative to the elements, uncorrected (eV/atom) = -0.30
- energy above the most stable polymorph in this dataset (meV per atom) = 0.0

The structure in CIF format:
```
data_LiAu2Se
_cell_length_a 3.9103
_cell_length_b 2.9290
_cell_length_c 11.9684
_cell_angle_alpha 90.00
_cell_angle_beta 90.00
_cell_angle_gamma 90.00
_space_group_name_H-M_alt 'P 1'
_space_group_IT_number 1
_space_group_name_Hall 'P 1'
loop_
_atom_site_label
_atom_site_type_symbol
_atom_site_fract_x
_atom_site_fract_y
_atom_site_fract_z
Li1 Li 0.0000 0.0000 0.0000
Li2 Li 0.0000 0.5000 0.5000
Au1 Au 0.0000 0.0000 0.2421
Au2 Au 0.0000 0.5000 0.7421
Au3 Au 0.5000 0.0000 0.6252
Au4 Au 0.5000 0.5000 0.1252
Se1 Se 0.5000 0.0000 0.4046
Se2 Se 0.5000 0.5000 0.9046
```